First-principles (PBE) data for a relaxed structure of TlGeCl3, as listed in the Alexandria database.

Cell and atoms, written as extended XYZ:
```
5
Lattice="4.278 0.000 3.533 -2.139 3.705 3.533 -2.139 -3.705 3.533" Properties=species:S:1:pos:R:3 pbc="T T T"
Tl 0.000 0.000 10.475
Ge 0.000 0.000 5.944
Cl 1.023 1.772 4.686
Cl 1.023 -1.772 4.686
Cl -2.046 0.000 4.686
```

Computed properties:
Formation energy (no corrections) = -0.907 eV/atom
VASP energy = -3.412 eV/atom
Crystal system = trigonal